A geometry-optimized InAgTeN2 structure. Source: the Alexandria database, functional PBE.

abc: 4.2869 4.2869 6.0652
angles: 90.00 90.00 90.00
Site moments in Bohr magnetons follow the coordinates.
Atoms (fractional coordinates):
N: 0.0000 0.5000 0.0000  1.11
N: 0.5000 0.0000 0.0000  1.11
Te: 0.0000 0.0000 0.5000  0.10
Ag: 0.0000 0.0000 0.0000  0.17
In: 0.5000 0.5000 0.5000  0.00

Properties
Symmetry   No. 123
Raw formation energy   1571 meV/atom